(1)
# Dy5Ga2Ge

A relaxed Dy5Ga2Ge crystal (PBE, Alexandria via LeMat-Bulk).

Output
As for the space group: I4/mcm. The value obtained for the calculated formation energy is -4.56 eV/f.u.

Cell lengths 8.722, 8.722, 8.722 Å; angles 127.61, 127.61, 77.26 degrees
Fractional coordinates of all 16 atoms:
Dy1 0.000 0.000 0.000
Dy2 0.019 0.519 0.834
Dy3 0.185 0.019 0.500
Dy4 0.315 0.815 0.834
Dy5 0.481 0.315 0.500
Dy6 0.500 0.500 0.000
Dy7 0.519 0.685 0.500
Dy8 0.685 0.185 0.166
Dy9 0.815 0.981 0.500
Dy10 0.981 0.481 0.166
Ga1 0.125 0.375 0.500
Ga2 0.375 0.875 0.249
Ga3 0.625 0.125 0.751
Ga4 0.875 0.625 0.500
Ge1 0.250 0.250 0.000
Ge2 0.750 0.750 0.000



(2)
# BaAl2

A relaxed BaAl2 crystal (PBE, Alexandria via LeMat-Bulk).

Output
As for the space group: Immm. The value obtained for the calculated formation energy is -0.50 eV/f.u.

Cell lengths 4.058, 7.262, 12.496 Å; angles 90.00, 90.00, 90.00 degrees
Fractional coordinates of all 12 atoms:
Ba1 0.000 0.000 0.166
Ba2 0.000 0.000 0.834
Ba3 0.500 0.500 0.334
Ba4 0.500 0.500 0.666
Al1 0.000 0.190 0.500
Al2 0.000 0.500 0.106
Al3 0.000 0.500 0.894
Al4 0.000 0.810 0.500
Al5 0.500 0.000 0.394
Al6 0.500 0.000 0.606
Al7 0.500 0.310 0.000
Al8 0.500 0.690 0.000



(3)
# IrSe2F

A relaxed IrSe2F crystal (PBE, Alexandria via LeMat-Bulk).

Output
As for the space group: P-1. The value obtained for the energy relative to the elements, uncorrected is -0.57 eV/atom.

Cell lengths 4.181, 6.146, 6.488 Å; angles 78.49, 78.98, 78.51 degrees
Fractional coordinates of all 8 atoms:
Ir1 0.077 0.173 0.096
Ir2 0.923 0.827 0.904
Se1 0.260 0.522 0.128
Se2 0.389 0.058 0.770
Se3 0.611 0.942 0.230
Se4 0.740 0.478 0.872
F1 0.141 0.720 0.613
F2 0.859 0.280 0.387



(4)
# Dy2PuPaSb4

A relaxed Dy2PuPaSb4 crystal (PBE, Alexandria via LeMat-Bulk).

Output
As for the space group: P2/m. The value obtained for the energy relative to the elements, uncorrected is -0.84 eV/atom.

Cell lengths 7.600, 4.392, 7.601 Å; angles 90.00, 109.43, 90.00 degrees
Fractional coordinates of all 8 atoms:
Dy1 0.000 0.000 0.000
Dy2 0.500 0.500 0.000
Pu1 0.000 0.500 0.500
Pa1 0.500 0.000 0.500
Sb1 0.252 0.500 0.249
Sb2 0.253 0.000 0.751
Sb3 0.747 0.000 0.249
Sb4 0.748 0.500 0.751



(5)
# Y2BiC

A relaxed Y2BiC crystal (PBE, Alexandria via LeMat-Bulk).

Output
As for the space group: Pnma. The value obtained for the calculated formation energy is -1.81 eV/f.u.

Cell lengths 6.880, 4.838, 11.101 Å; angles 90.00, 90.00, 90.00 degrees
Fractional coordinates of all 16 atoms:
Y1 0.090 0.250 0.229
Y2 0.152 0.250 0.551
Y3 0.348 0.750 0.051
Y4 0.410 0.750 0.729
Y5 0.590 0.250 0.271
Y6 0.652 0.250 0.949
Y7 0.848 0.750 0.449
Y8 0.910 0.750 0.771
Bi1 0.167 0.250 0.875
Bi2 0.333 0.750 0.375
Bi3 0.667 0.250 0.625
Bi4 0.833 0.750 0.125
C1 0.117 0.750 0.598
C2 0.383 0.250 0.098
C3 0.617 0.750 0.902
C4 0.883 0.250 0.402



(6)
# Tb4SmHo3S8

A relaxed Tb4SmHo3S8 crystal (PBE, Alexandria via LeMat-Bulk).

Output
As for the space group: R-3m. The value obtained for the energy relative to the elements, uncorrected is -1.99 eV/atom.

Cell lengths 7.845, 7.845, 7.845 Å; angles 60.02, 60.02, 60.02 degrees
Fractional coordinates of all 16 atoms:
Tb1 0.000 0.000 0.000
Tb2 0.000 0.500 0.500
Tb3 0.500 0.000 0.500
Tb4 0.500 0.500 0.000
Sm1 0.500 0.500 0.500
Ho1 0.000 0.000 0.500
Ho2 0.000 0.500 0.000
Ho3 0.500 0.000 0.000
S1 0.244 0.753 0.753
S2 0.247 0.247 0.756
S3 0.247 0.756 0.247
S4 0.248 0.248 0.248
S5 0.752 0.752 0.752
S6 0.753 0.244 0.753
S7 0.753 0.753 0.244
S8 0.756 0.247 0.247



(7)
# Tb8Ir2Au

A relaxed Tb8Ir2Au crystal (PBE, Alexandria via LeMat-Bulk).

Output
As for the space group: Cm. The value obtained for the calculated formation energy is -4.90 eV/f.u.

Cell lengths 7.697, 7.697, 5.801 Å; angles 98.87, 98.87, 112.66 degrees
Fractional coordinates of all 11 atoms:
Tb1 0.000 0.000 0.000
Tb2 0.034 0.295 0.599
Tb3 0.138 0.603 0.190
Tb4 0.295 0.034 0.599
Tb5 0.443 0.704 0.788
Tb6 0.603 0.138 0.190
Tb7 0.704 0.443 0.788
Tb8 0.744 0.744 0.383
Ir1 0.061 0.679 0.693
Ir2 0.679 0.061 0.693
Au1 0.373 0.373 0.073



(8)
# NbHgTe2

A relaxed NbHgTe2 crystal (PBE, Alexandria via LeMat-Bulk).

Output
As for the space group: R-3m. The value obtained for the energy relative to the elements, uncorrected is 0.39 eV/atom. The energy above the most stable polymorph in this dataset comes out at 724 meV/atom.

Cell lengths 3.175, 3.175, 38.234 Å; angles 90.00, 90.00, 120.00 degrees
Fractional coordinates of all 12 atoms:
Nb1 0.000 0.000 0.000
Nb2 0.333 0.667 0.667
Nb3 0.667 0.333 0.333
Hg1 0.000 0.000 0.500
Hg2 0.333 0.667 0.167
Hg3 0.667 0.333 0.833
Te1 0.000 0.000 0.074
Te2 0.000 0.000 0.926
Te3 0.333 0.667 0.593
Te4 0.333 0.667 0.741
Te5 0.667 0.333 0.259
Te6 0.667 0.333 0.407



Which formula does entry 6 have? Tb4SmHo3S8



What is the formula in the eighth record? NbHgTe2